Tb2HgWO8: optimized geometry, PBE with a Hubbard U.

Calculated values
* space group: P-1
* DFT total energy: -81.45 eV/f.u.

a b c (Å): 4.6362 5.1036 7.1099
angles (deg): 85.02 88.57 85.31
Last column: nearest neighbours and their distance in Å.
Fractional positions:
1 Tb 0.0670 0.4854 0.2577  6 O 2.26-2.39
2 Tb 0.9330 0.5146 0.7423  6 O 2.26-2.39
3 Hg 0.5000 0.0000 0.0000  4 O 2.03-2.12
4 W 0.5000 0.0000 0.5000  6 O 1.91-2.06
5 O 0.1643 0.2395 0.5367  1 W 1.93
6 O 0.1885 0.3034 0.9859  1 Hg 2.03, 2 Tb 2.26-2.27
7 O 0.3200 0.8737 0.2657  1 W 2.06, 1 Hg 2.12
8 O 0.3578 0.7262 0.6689  1 W 1.91
9 O 0.6422 0.2738 0.3311  1 W 1.91
10 O 0.6800 0.1263 0.7343  1 W 2.06, 1 Hg 2.12
11 O 0.8115 0.6966 0.0141  1 Hg 2.03, 2 Tb 2.26-2.27
12 O 0.8357 0.7605 0.4633  1 W 1.93